# 1
A plane-wave DFT calculation with GGA-PBE was carried out for an optimized crystal structure of Er3PdRh.

Cell: 3.959 6.737 9.655 Å, 80.19 89.93 72.93°
Space group P-1 (No. 2)
Inequivalent atoms, fractional coordinates:
Er 0.092 0.316 0.385 (multiplicity 2)
Er 0.353 0.794 0.288 (multiplicity 2)
Er 0.365 0.769 0.909 (multiplicity 2)
Pd 0.048 0.403 0.879 (multiplicity 2)
Rh 0.267 0.965 0.619 (multiplicity 2)

Summary:
Energy relative to the lowest polymorph listed for this composition in eV per formula unit: 0.063

***

# 2
A plane-wave DFT calculation with GGA-PBE was carried out for an optimized crystal structure of Er2Pd4Rh.

Cell: 9.872 5.470 9.606 Å, 90.00 90.00 90.00°
Space group Cmce (No. 64)
Inequivalent atoms, fractional coordinates:
Er 0.158 0.000 0.000 (multiplicity 8)
Pd 0.000 0.143 0.232 (multiplicity 8)
Pd 0.250 0.156 0.750 (multiplicity 8)
Rh 0.000 0.000 0.500 (multiplicity 4)

***

# 3
A plane-wave DFT calculation with GGA-PBE was carried out for an optimized crystal structure of Er4Pd7Rh.

Cell: 5.505 7.081 7.120 Å, 119.17 92.65 104.55°
Space group P-1 (No. 2)
Inequivalent atoms, fractional coordinates:
Er 0.160 0.073 0.263 (multiplicity 2)
Er 0.286 0.562 0.187 (multiplicity 2)
Pd 0.000 0.500 0.500 (multiplicity 1)
Pd 0.165 0.302 0.716 (multiplicity 2)
Pd 0.343 0.944 0.633 (multiplicity 2)
Pd 0.359 0.768 0.917 (multiplicity 2)
Rh 0.500 0.500 0.500 (multiplicity 1)

***

Number 1: total DFT energy (no corrections) -29.77 eV per formula unit. Number 2: total DFT energy (no corrections) -40.63 eV per formula unit. Number 3: total DFT energy (no corrections) -71.57 eV per formula unit.